No. 1
# Tb3In3CuPdAu

A relaxed structure of Tb3In3CuPdAu (PBE, OQMD via LeMat-Bulk).

raw total energy	-4.499	eV per atom
total moment	0.0	μB per formula unit

Geometry as CIF:
```
data_Tb3In3CuPdAu
_chemical_formula_sum 'Tb3 In3 Cu1 Pd1 Au1'
_space_group_name_H-M_alt 'P 1'
_space_group_IT_number 1
_cell_length_a 7.7731
_cell_length_b 7.7731
_cell_length_c 3.8445
_cell_angle_alpha 90.00
_cell_angle_beta 90.00
_cell_angle_gamma 120.00
loop_
_space_group_symop_operation_xyz
'x,y,z'
loop_
_atom_site_label
_atom_site_fract_x
_atom_site_fract_y
_atom_site_fract_z
Tb1 0.0791 0.7380 0.0000
Tb2 0.2620 0.3411 0.0000
Tb3 0.6589 0.9209 0.0000
In1 0.4174 0.0802 0.5000
In2 0.6628 0.5826 0.5000
In3 0.9198 0.3372 0.5000
Cu1 0.6667 0.3333 0.0000
Pd1 0.3333 0.6667 0.5000
Au1 0.0000 0.0000 0.5000
```

***

No. 2
# ZrSc

A relaxed structure of ZrSc (PBE, OQMD via LeMat-Bulk).

raw total energy	-7.452	eV per atom
total moment	0.0	μB per formula unit
E_form	-0.015	eV per atom

Geometry as CIF:
```
data_ZrSc
_chemical_formula_sum 'Zr4 Sc4'
_space_group_name_H-M_alt 'P 1'
_space_group_IT_number 1
_cell_length_a 5.1152
_cell_length_b 6.5083
_cell_length_c 5.6237
_cell_angle_alpha 90.00
_cell_angle_beta 90.00
_cell_angle_gamma 90.00
loop_
_space_group_symop_operation_xyz
'x,y,z'
loop_
_atom_site_label
_atom_site_fract_x
_atom_site_fract_y
_atom_site_fract_z
Zr1 0.0000 0.0000 0.0000
Zr2 0.0000 0.2450 0.5081
Zr3 0.0000 0.7550 0.5081
Zr4 0.5000 0.0000 0.6765
Sc1 0.0000 0.5000 0.0082
Sc2 0.5000 0.2438 0.1759
Sc3 0.5000 0.5000 0.6629
Sc4 0.5000 0.7562 0.1759
```

***

No. 3
# MgAgB4

A relaxed structure of MgAgB4 (PBE, OQMD via LeMat-Bulk).

raw total energy	-4.994	eV per atom

Geometry as CIF:
```
data_MgAgB4
_chemical_formula_sum 'Mg1 Ag1 B4'
_space_group_name_H-M_alt 'P 1'
_space_group_IT_number 1
_cell_length_a 4.8036
_cell_length_b 4.8036
_cell_length_c 4.8036
_cell_angle_alpha 142.83
_cell_angle_beta 113.07
_cell_angle_gamma 79.12
loop_
_space_group_symop_operation_xyz
'x,y,z'
loop_
_atom_site_label
_atom_site_fract_x
_atom_site_fract_y
_atom_site_fract_z
Mg1 0.0000 0.0000 0.0000
Ag1 0.5000 0.5000 0.0000
B1 0.0743 0.7423 0.3320
B2 0.4103 0.7423 0.6680
B3 0.5897 0.2577 0.3320
B4 0.9257 0.2577 0.6680
```

***

No. 4
# Ta2AsAu

A relaxed structure of Ta2AsAu (PBE, OQMD via LeMat-Bulk).

raw total energy	-7.428	eV per atom
total moment	0.0	μB per formula unit

Geometry as CIF:
```
data_Ta2AsAu
_chemical_formula_sum 'Ta2 As1 Au1'
_space_group_name_H-M_alt 'P 1'
_space_group_IT_number 1
_cell_length_a 4.6798
_cell_length_b 4.6798
_cell_length_c 4.6798
_cell_angle_alpha 60.00
_cell_angle_beta 60.00
_cell_angle_gamma 60.00
loop_
_space_group_symop_operation_xyz
'x,y,z'
loop_
_atom_site_label
_atom_site_fract_x
_atom_site_fract_y
_atom_site_fract_z
Ta1 0.0000 0.0000 0.0000
Ta2 0.2500 0.2500 0.2500
As1 0.5000 0.5000 0.5000
Au1 0.7500 0.7500 0.7500
```

***

What is the formula in the fourth record? Ta2AsAu

***

Which of these has the lowest raw total energy? ZrSc

***

Which value of raw total energy does entry 3 give? -4.994 eV per atom